No. 1
This record from Alexandria describes a geometry-optimized LiNpSiRu structure. The functional is PBE.

Summary:
- Fermi-level density of states: 2.376 states/eV/atom
- Uncorrected formation energy: -0.22 eV/f.u.
- Energy: -29.8 eV per formula unit

Cell lengths 4.508, 4.508, 4.508 Å; angles 60.00, 60.00, 60.00 degrees
Sites, in units of the cell vectors:
Np (0.250, 0.250, 0.250)
Ru (0.500, 0.500, 0.500)
Si (0.750, 0.750, 0.750)
Li (0.000, 0.000, 0.000)

***

No. 2
This record from Alexandria describes a geometry-optimized LiNpSnRu structure. The functional is PBE.

Summary:
- Fermi-level density of states: 2.920 states/eV/atom
- Energy of formation from the pure elements: -0.06 eV/atom
- Energy: -28.4 eV per formula unit

Cell lengths 4.725, 4.725, 4.725 Å; angles 60.00, 60.00, 60.00 degrees
Sites, in units of the cell vectors:
Np (0.000, 0.000, 0.000)
Ru (0.750, 0.750, 0.750)
Sn (0.500, 0.500, 0.500)
Li (0.250, 0.250, 0.250)

***

Q: Which of these has the lowest Fermi-level density of states?
A: LiNpSiRu

***

Repeat the second record exactly.
This record from Alexandria describes a geometry-optimized LiNpSnRu structure. The functional is PBE.

Summary:
- Fermi-level density of states: 2.920 states/eV/atom
- Energy of formation from the pure elements: -0.06 eV/atom
- Energy: -28.4 eV per formula unit

Cell lengths 4.725, 4.725, 4.725 Å; angles 60.00, 60.00, 60.00 degrees
Sites, in units of the cell vectors:
Np (0.000, 0.000, 0.000)
Ru (0.750, 0.750, 0.750)
Sn (0.500, 0.500, 0.500)
Li (0.250, 0.250, 0.250)

***

Q: Which formula does entry 1 have?
A: LiNpSiRu